Entry from the Alexandria database: a geometry-optimized Ba3TaCo structure (PBE-GGA).

Output
The value obtained for the formation energy is 5.66 eV/f.u. As for the total moment: 5.26 μB/cell. For the mass density, the calculation gives 5596 kg/m3. The value obtained for the volume is 38.69 Å³/atom.

abc: 5.7833 5.7833 5.7833
angles: 90.00 90.00 90.00
Last column: magnetic moment on the atom in μB.
Sites, in units of the cell vectors:
Co  0.0000  0.0000  0.0000  0.67
Ba  0.0000  0.5000  0.0000  0.04
Ba  0.0000  0.0000  0.5000  0.04
Ba  0.5000  0.0000  0.0000  0.08
Ta  0.5000  0.5000  0.5000  2.23